PBE+U CaAlCr2O6, optimized geometry; VASP energy = -7.32 eV/atom; theoretical density = 4.190 g/cm3; total magnetic moment = 0.50 μB/atom
1.0
-0.377 4.370 2.649
-4.620 2.027 0.850
-2.069 -0.261 5.113
Ca Al Cr O
1 1 2 6
Cartesian
-5.244 4.923 5.944 Ca
-1.698 2.025 1.351 Al
-3.514 3.193 4.060 Cr
-2.046 -0.211 4.952 Cr
-1.833 3.084 2.950 O
-4.828 2.900 2.583 O
-3.613 5.232 4.113 O
-5.031 2.789 5.409 O
-2.644 3.328 5.955 O
-3.217 1.246 4.636 O